(1)
VASP calculation (PBE-GGA) on a relaxed structure of GdCdGaPd.

abc: 4.8611 4.8611 4.8611
angles: 60.00 60.00 60.00
Last column: nearest neighbours and their distance in Å.
Positions (direct):
1 Gd 0.2500 0.2500 0.2500  4 Ga 2.98, 4 Pd 2.98
2 Cd 0.7500 0.7500 0.7500  4 Ga 2.98, 4 Pd 2.98
3 Pd 0.5000 0.5000 0.5000  4 Gd 2.98, 4 Cd 2.98
4 Ga 0.0000 0.0000 0.0000  4 Cd 2.98, 4 Gd 2.98

Properties
- formation energy (eV per atom) = -0.550
- total magnetic moment (μB per cell) = 7.06
- SG = No. 216
- mass density (g/cm3) = 9.11
- crystal system = cubic

(2)
VASP calculation (PBE-GGA) on a relaxed structure of LiPuBr3.

abc: 4.2388 7.1896 12.1753
angles: 107.17 90.00 90.00
Last column: nearest neighbours and their distance in Å.
Positions (direct):
1 Br 0.7500 0.8829 0.7640  1 Li 2.54
2 Br 0.2500 0.1189 0.2360  1 Li 2.54
3 Br 0.2500 0.4354 0.8446  2 Li 2.51
4 Br 0.7500 0.5909 0.1554  2 Li 2.51
5 Br 0.2500 0.7078 0.4463  1 Li 2.72
6 Br 0.7500 0.2615 0.5537  1 Li 2.72
7 Li 0.7500 0.5300 0.7649  4 Br 2.51-2.72
8 Li 0.2500 0.7651 0.2351  4 Br 2.51-2.72
9 Pu 0.2500 0.0638 0.6617  6 Br 2.93-3.08
10 Pu 0.7500 0.4021 0.3383  6 Br 2.93-3.08

Properties
- total magnetic moment (μB per cell) = 12.00
- SG = No. 40
- mass density (g/cm3) = 4.60
- crystal system = orthorhombic
- energy relative to the elements, uncorrected (meV per atom) = -1417

(3)
VASP calculation (PBE-GGA) on a relaxed structure of V8GaFe6.

abc: 6.8219 6.8219 6.3017
angles: 57.23 57.23 60.00
Last column: nearest neighbours and their distance in Å.
Positions (direct):
1 V 0.1241 0.4328 0.6504  5 Fe 2.38-2.55
2 V 0.5672 0.2073 0.3496  5 Fe 2.38-2.55
3 V 0.7927 0.1241 0.6504  5 Fe 2.38-2.55
4 V 0.3294 0.3294 0.0118  6 Fe 2.37-2.42
5 V 0.4328 0.7927 0.6504  5 Fe 2.38-2.55
6 V 0.2073 0.8759 0.3496  5 Fe 2.38-2.55
7 V 0.6706 0.6706 0.9882  6 Fe 2.37-2.42
8 V 0.8759 0.5672 0.3496  5 Fe 2.38-2.55
9 Ga 0.0000 0.0000 0.0000  6 Fe 2.47
10 Fe 0.2859 0.6018 0.1670  7 V 2.37-2.55, 1 Ga 2.47
11 Fe 0.7141 0.3982 0.8330  7 V 2.37-2.55, 1 Ga 2.47
12 Fe 0.6018 0.9452 0.1670  7 V 2.37-2.55, 1 Ga 2.47
13 Fe 0.3982 0.0548 0.8330  7 V 2.37-2.55, 1 Ga 2.47
14 Fe 0.9452 0.2859 0.1670  7 V 2.37-2.55, 1 Ga 2.47
15 Fe 0.0548 0.7141 0.8330  7 V 2.37-2.55, 1 Ga 2.47

Properties
- formation energy (eV per atom) = 0.078
- total magnetic moment (μB per cell) = 0.00
- SG = No. 148
- mass density (g/cm3) = 6.80
- crystal system = trigonal

(4)
VASP calculation (PBE-GGA) on a relaxed structure of ZnCuOs2.

abc: 4.6078 4.6078 4.6614
angles: 82.29 82.29 34.61
Last column: nearest neighbours and their distance in Å.
Positions (direct):
1 Os 0.0019 0.0019 0.9718  5 Os 2.53-2.74, 4 Zn 2.70-2.71, 3 Cu 2.78-2.80
2 Os 0.7463 0.7463 0.7815  5 Os 2.53-2.74, 4 Cu 2.69-2.72, 1 Zn 2.77
3 Cu 0.2519 0.2519 0.2762  3 Zn 2.48-2.66, 4 Os 2.69-2.72, 2 Cu 2.74
4 Zn 0.4999 0.4999 0.4705  3 Cu 2.48-2.66, 5 Os 2.70-2.77, 2 Zn 2.74

Properties
- formation energy (eV per atom) = 0.245
- total magnetic moment (μB per cell) = 0.00
- SG = No. 8
- mass density (g/cm3) = 15.20
- crystal system = monoclinic

(5)
VASP calculation (PBE-GGA) on a relaxed structure of Rb4Sm3AlO8.

abc: 6.8863 7.6883 7.0703
angles: 116.83 119.14 90.00
Last column: nearest neighbours and their distance in Å.
Positions (direct):
1 O 0.2785 0.3194 0.5570  3 Sm 2.34-2.35
2 O 0.1872 0.6552 0.9563  1 Al 1.98
3 O 0.7514 0.2970 0.5028  2 Sm 2.33
4 O 0.7691 0.6552 0.9563  1 Al 1.98
5 O 0.7215 0.6806 0.4430  3 Sm 2.34-2.35
6 O 0.8128 0.3448 0.0437  1 Al 1.98
7 O 0.2486 0.7030 0.4972  2 Sm 2.33
8 O 0.2309 0.3448 0.0437  1 Al 1.98
9 Sm 0.0000 0.5000 0.5000  6 O 2.33-2.44
10 Sm 0.5000 0.5000 0.5000  6 O 2.33-2.44
11 Sm 0.5000 0.5000 0.0000  6 O 2.34-2.42
12 Rb 0.0000 0.0000 0.5000  6 O 2.85-3.03
13 Rb 0.0000 0.0000 0.0000  6 O 2.90-3.02
14 Rb 0.5000 0.0000 0.0000  2 O 2.74
15 Rb 0.5000 0.0000 0.5000  6 O 2.85-3.03
16 Al 0.0000 0.5000 0.0000  4 O 1.98

Properties
- total magnetic moment (μB per cell) = 0.00
- SG = No. 12
- mass density (g/cm3) = 5.62
- crystal system = monoclinic
- energy relative to the elements, uncorrected (meV per atom) = -2396

(6)
VASP calculation (PBE-GGA) on a relaxed structure of PrYTm3.

abc: 9.7259 6.0663 5.6703
angles: 90.00 106.96 90.00
Last column: nearest neighbours and their distance in Å.
Positions (direct):
1 Pr 0.7871 0.8853 0.6441  6 Tm 3.27-3.61, 2 Y 3.47
2 Pr 0.2129 0.3853 0.3559  6 Tm 3.27-3.61, 2 Y 3.47
3 Tm 0.0100 0.4695 0.7545  3 Pr 3.27-3.44, 3 Tm 3.36-3.48
4 Tm 0.2050 0.0037 0.8527  6 Tm 3.36-3.71, 3 Y 3.52-3.65, 2 Pr 3.66
5 Tm 0.6008 0.3749 0.5505  3 Pr 3.44-3.61, 5 Tm 3.45-3.85, 4 Y 3.45-3.57
6 Tm 0.3992 0.8749 0.4495  3 Pr 3.44-3.61, 5 Tm 3.45-3.85, 4 Y 3.45-3.57
7 Tm 0.9900 0.9695 0.2455  3 Pr 3.27-3.44, 3 Tm 3.36-3.48
8 Tm 0.7950 0.5037 0.1473  6 Tm 3.36-3.71, 3 Y 3.52-3.65, 2 Pr 3.66
9 Y 0.5894 0.0165 0.0447  8 Tm 3.45-3.74, 2 Y 3.46, 2 Pr 3.47
10 Y 0.4106 0.5165 0.9553  8 Tm 3.45-3.74, 2 Y 3.46, 2 Pr 3.47

Properties
- formation energy (eV per atom) = 0.080
- total magnetic moment (μB per cell) = 0.00
- SG = No. 4
- mass density (g/cm3) = 7.64
- crystal system = monoclinic

| no. | total DFT energy (no corrections) (eV/atom) |
| --- | --- |
| 1 | -6.35 |
| 2 | -5.67 |
| 3 | -8.37 |
| 4 | -6.71 |
| 5 | -6.24 |
| 6 | -4.85 |